1.
A relaxed structure of NaCdS2Cl. Source: the Alexandria database, functional PBE-GGA.

Geometry as CIF:
```
data_NaCdS2Cl
_chemical_formula_sum 'Na1 Cd1 S2 Cl1'
_cell_length_a 5.0985
_cell_length_b 5.0985
_cell_length_c 4.9029
_cell_angle_alpha 90.00
_cell_angle_beta 90.00
_cell_angle_gamma 90.00
_symmetry_space_group_name_H-M 'P 4/m m m'
_symmetry_Int_Tables_number 123
_symmetry_space_group_name_Hall '-P 4 2'
loop_
_atom_site_label
_atom_site_type_symbol
_atom_site_fract_x
_atom_site_fract_y
_atom_site_fract_z
_atom_site_occupancy
Na1 Na 0.0000 0.0000 0.0000 1
Cd1 Cd 0.5000 0.5000 0.5000 1
S1 S 0.0000 0.5000 0.0000 1
Cl1 Cl 0.0000 0.0000 0.5000 1
```

Summary:
- formation energy from raw total energies (meV per atom) = 303
- crystal system = tetragonal


2.
A relaxed structure of NaCdS2Cl. Source: the Alexandria database, functional PBE-GGA.

Geometry as CIF:
```
data_NaCdS2Cl
_chemical_formula_sum 'Na1 Cd1 S2 Cl1'
_cell_length_a 4.9886
_cell_length_b 4.9886
_cell_length_c 5.5749
_cell_angle_alpha 90.00
_cell_angle_beta 90.00
_cell_angle_gamma 90.00
_symmetry_space_group_name_H-M 'P 4/m m m'
_symmetry_Int_Tables_number 123
_symmetry_space_group_name_Hall '-P 4 2'
loop_
_atom_site_label
_atom_site_type_symbol
_atom_site_fract_x
_atom_site_fract_y
_atom_site_fract_z
_atom_site_occupancy
Na1 Na 0.0000 0.0000 0.0000 1
Cd1 Cd 0.5000 0.5000 0.5000 1
S1 S 0.0000 0.5000 0.5000 1
Cl1 Cl 0.5000 0.5000 0.0000 1
```

Summary:
- formation energy from raw total energies (meV per atom) = -248
- crystal system = tetragonal


3.
A relaxed structure of NaCdSCl2. Source: the Alexandria database, functional PBE-GGA.

Geometry as CIF:
```
data_NaCdSCl2
_chemical_formula_sum 'Na1 Cd1 S1 Cl2'
_cell_length_a 5.3292
_cell_length_b 5.3292
_cell_length_c 5.0404
_cell_angle_alpha 90.00
_cell_angle_beta 90.00
_cell_angle_gamma 90.00
_symmetry_space_group_name_H-M 'P 4/m m m'
_symmetry_Int_Tables_number 123
_symmetry_space_group_name_Hall '-P 4 2'
loop_
_atom_site_label
_atom_site_type_symbol
_atom_site_fract_x
_atom_site_fract_y
_atom_site_fract_z
_atom_site_occupancy
Na1 Na 0.0000 0.0000 0.0000 1
Cd1 Cd 0.5000 0.5000 0.5000 1
S1 S 0.5000 0.5000 0.0000 1
Cl1 Cl 0.0000 0.5000 0.5000 1
```

Summary:
- formation energy from raw total energies (meV per atom) = -680
- crystal system = tetragonal


4.
A relaxed structure of NaCdSCl. Source: the Alexandria database, functional PBE-GGA.

Geometry as CIF:
```
data_NaCdSCl
_chemical_formula_sum 'Na2 Cd2 S2 Cl2'
_cell_length_a 5.9920
_cell_length_b 4.4674
_cell_length_c 7.7272
_cell_angle_alpha 90.00
_cell_angle_beta 90.00
_cell_angle_gamma 90.00
_symmetry_space_group_name_H-M 'A m m 2'
_symmetry_Int_Tables_number 38
_symmetry_space_group_name_Hall 'A 2 -2'
loop_
_atom_site_label
_atom_site_type_symbol
_atom_site_fract_x
_atom_site_fract_y
_atom_site_fract_z
_atom_site_occupancy
Na1 Na 0.0000 0.0000 0.0000 1
Cd1 Cd 0.5000 0.0000 0.3322 1
S1 S 0.5000 0.0000 0.9987 1
Cl1 Cl 0.0000 0.0000 0.3335 1
```

Summary:
- formation energy from raw total energies (meV per atom) = -1100
- crystal system = orthorhombic


5.
A relaxed structure of NaCdSCl2. Source: the Alexandria database, functional PBE-GGA.

Geometry as CIF:
```
data_NaCdSCl2
_chemical_formula_sum 'Na1 Cd1 S1 Cl2'
_cell_length_a 4.9302
_cell_length_b 4.9302
_cell_length_c 5.3118
_cell_angle_alpha 90.00
_cell_angle_beta 90.00
_cell_angle_gamma 90.00
_symmetry_space_group_name_H-M 'P 4/m m m'
_symmetry_Int_Tables_number 123
_symmetry_space_group_name_Hall '-P 4 2'
loop_
_atom_site_label
_atom_site_type_symbol
_atom_site_fract_x
_atom_site_fract_y
_atom_site_fract_z
_atom_site_occupancy
Na1 Na 0.0000 0.0000 0.0000 1
Cd1 Cd 0.5000 0.5000 0.5000 1
S1 S 0.0000 0.0000 0.5000 1
Cl1 Cl 0.0000 0.5000 0.0000 1
```

Summary:
- formation energy from raw total energies (meV per atom) = -161
- crystal system = tetragonal


6.
A relaxed structure of NaCd2SbCl8. Source: the Alexandria database, functional PBE-GGA.

Geometry as CIF:
```
data_NaCd2SbCl8
_chemical_formula_sum 'Na1 Cd2 Sb1 Cl8'
_cell_length_a 6.2081
_cell_length_b 8.1036
_cell_length_c 6.4879
_cell_angle_alpha 90.00
_cell_angle_beta 90.06
_cell_angle_gamma 90.00
_symmetry_space_group_name_H-M 'P 1 2/m 1'
_symmetry_Int_Tables_number 10
_symmetry_space_group_name_Hall '-P 2y'
loop_
_atom_site_label
_atom_site_type_symbol
_atom_site_fract_x
_atom_site_fract_y
_atom_site_fract_z
_atom_site_occupancy
Na1 Na 0.0000 0.0000 0.0000 1
Cd1 Cd 0.5000 0.2398 0.5000 1
Sb1 Sb 0.0000 0.5000 0.0000 1
Cl1 Cl 0.2315 0.2624 0.8267 1
Cl2 Cl 0.2758 0.5000 0.3320 1
Cl3 Cl 0.2783 0.0000 0.3375 1
```

Summary:
- formation energy from raw total energies (meV per atom) = -1100
- crystal system = monoclinic


7.
A relaxed structure of NaCdSeCl. Source: the Alexandria database, functional PBE-GGA.

Geometry as CIF:
```
data_NaCdSeCl
_chemical_formula_sum 'Na1 Cd1 Se1 Cl1'
_cell_length_a 4.6012
_cell_length_b 4.6012
_cell_length_c 6.1410
_cell_angle_alpha 90.00
_cell_angle_beta 90.00
_cell_angle_gamma 120.00
_symmetry_space_group_name_H-M 'P -6 m 2'
_symmetry_Int_Tables_number 187
_symmetry_space_group_name_Hall 'P -6 2'
loop_
_atom_site_label
_atom_site_type_symbol
_atom_site_fract_x
_atom_site_fract_y
_atom_site_fract_z
_atom_site_occupancy
Na1 Na 0.0000 0.0000 0.0000 1
Cd1 Cd 0.6667 0.3333 0.5000 1
Se1 Se 0.0000 0.0000 0.5000 1
Cl1 Cl 0.6667 0.3333 0.0000 1
```

Summary:
- formation energy from raw total energies (meV per atom) = -1103
- crystal system = hexagonal


8.
A relaxed structure of NaCd2SiCl. Source: the Alexandria database, functional PBE-GGA.

Geometry as CIF:
```
data_NaCd2SiCl
_chemical_formula_sum 'Na1 Cd2 Si1 Cl1'
_cell_length_a 4.9509
_cell_length_b 4.9509
_cell_length_c 5.8742
_cell_angle_alpha 90.00
_cell_angle_beta 90.00
_cell_angle_gamma 90.00
_symmetry_space_group_name_H-M 'P 4/m m m'
_symmetry_Int_Tables_number 123
_symmetry_space_group_name_Hall '-P 4 2'
loop_
_atom_site_label
_atom_site_type_symbol
_atom_site_fract_x
_atom_site_fract_y
_atom_site_fract_z
_atom_site_occupancy
Na1 Na 0.0000 0.0000 0.0000 1
Cd1 Cd 0.0000 0.5000 0.5000 1
Si1 Si 0.0000 0.0000 0.5000 1
Cl1 Cl 0.5000 0.5000 0.0000 1
```

Summary:
- formation energy from raw total energies (meV per atom) = -184
- crystal system = tetragonal


Here are the calculated total DFT energy (no corrections) numbers, same order: -10.8, -13.6, -13.5, -25.2, -10.9, -35.2, -12.0, -11.3 (eV per cell).